# Na4Tb3CrO8 PBE with a Hubbard U relaxed
data_Na4Tb3CrO8
_chemical_formula_sum 'Na12 Tb9 Cr3 O24'
_symmetry_space_group_name_H-M 'R -3 m'
_symmetry_Int_Tables_number 166
_symmetry_space_group_name_Hall '-R 3 2"'
_cell_length_a 6.7026
_cell_length_b 6.7026
_cell_length_c 16.6825
_cell_angle_alpha 90.00
_cell_angle_beta 90.00
_cell_angle_gamma 120.00
loop_
_atom_site_label
_atom_site_type_symbol
_atom_site_fract_x
_atom_site_fract_y
_atom_site_fract_z
Na1 Na 0.0000 0.0000 0.0000
Na2 Na 0.0000 0.5000 0.0000
Tb1 Tb 0.0000 0.5000 0.5000
Cr1 Cr 0.0000 0.0000 0.5000
O1 O 0.0000 0.0000 0.2382
O2 O 0.0202 0.5101 0.2358
# - DFT total energy (eV per atom) = -6.6494